First-principles (PBE-GGA) data for a geometry-optimized LaPaF6 structure, as listed in Alexandria.

Properties
symmetry = No. 12

Cell: 5.9919 6.0537 5.2589 Å, 54.86 84.36 80.17°
Closest atoms and distances in Å follow each position.
Element x y z (fractional)
1 La 0.0000 0.0000 0.0000  6 F 2.36-2.42
2 Pa 0.5000 0.5000 0.0000  6 F 2.29-2.34
3 F 0.7646 0.4353 0.6820  1 Pa 2.34, 1 La 2.42
4 F 0.7646 0.1173 0.3180  1 Pa 2.34, 1 La 2.42
5 F 0.2354 0.8827 0.6820  1 Pa 2.34, 1 La 2.42
6 F 0.2354 0.5647 0.3180  1 Pa 2.34, 1 La 2.42
7 F 0.7095 0.7824 0.0000  1 Pa 2.29, 1 La 2.36
8 F 0.2905 0.2176 0.0000  1 Pa 2.29, 1 La 2.36


First-principles (PBE-GGA) data for a geometry-optimized LaPb2F structure, as listed in Alexandria.

Properties
symmetry = No. 225
polymorph energy (0 for the lowest one) = 4.1 kJ/mol of formula units

Cell: 5.3763 5.3763 5.3763 Å, 60.00 60.00 60.00°
Closest atoms and distances in Å follow each position.
Element x y z (fractional)
1 Pb 0.2500 0.2500 0.2500  4 F 3.29, 4 La 3.29
2 Pb 0.7500 0.7500 0.7500  4 F 3.29, 4 La 3.29
3 F 0.0000 0.0000 0.0000  8 Pb 3.29
4 La 0.5000 0.5000 0.5000  8 Pb 3.29


First-principles (PBE-GGA) data for a geometry-optimized LaPb3F structure, as listed in Alexandria.

Properties
symmetry = No. 221
polymorph energy (0 for the lowest one) = 574.1 kJ/mol of formula units

Cell: 6.2131 6.2131 6.2131 Å, 90.00 90.00 90.00°
Closest atoms and distances in Å follow each position.
Element x y z (fractional)
1 Pb 0.0000 0.5000 0.0000  2 La 3.11
2 Pb 0.0000 0.0000 0.5000  2 La 3.11
3 Pb 0.5000 0.0000 0.0000  2 La 3.11
4 F 0.5000 0.5000 0.5000  12 Pb 4.39
5 La 0.0000 0.0000 0.0000  6 Pb 3.11


First-principles (PBE-GGA) data for a geometry-optimized LaPbF3 structure, as listed in Alexandria.

Properties
symmetry = No. 221
polymorph energy (0 for the lowest one) = 410.9 kJ/mol of formula units

Cell: 4.8109 4.8109 4.8109 Å, 90.00 90.00 90.00°
Closest atoms and distances in Å follow each position.
Element x y z (fractional)
1 Pb 0.0000 0.0000 0.0000  6 F 2.41
2 F 0.0000 0.5000 0.0000  2 Pb 2.41
3 F 0.0000 0.0000 0.5000  2 Pb 2.41
4 F 0.5000 0.0000 0.0000  2 Pb 2.41
5 La 0.5000 0.5000 0.5000  12 F 3.40


First-principles (PBE-GGA) data for a geometry-optimized LaPbF5 structure, as listed in Alexandria.

Properties
symmetry = No. 15

Cell: 5.2906 5.2906 8.5511 Å, 92.75 92.75 91.59°
Closest atoms and distances in Å follow each position.
Element x y z (fractional)
1 La 0.0000 0.0000 0.0000  6 F 2.33-2.37
2 La 0.0000 0.0000 0.5000  6 F 2.33-2.37
3 Pb 0.5191 0.4809 0.7500  6 F 2.40-2.69
4 Pb 0.4809 0.5191 0.2500  6 F 2.40-2.69
5 F 0.6377 0.0789 0.8453  1 La 2.33, 1 Pb 2.40
6 F 0.3859 0.2380 0.4957  1 La 2.37, 1 Pb 2.53
7 F 0.0789 0.6377 0.3453  1 La 2.33, 1 Pb 2.40
8 F 0.1354 0.8646 0.7500  2 La 2.37
9 F 0.7620 0.6141 0.0043  1 La 2.37, 1 Pb 2.53
10 F 0.2380 0.3859 0.9957  1 La 2.37, 1 Pb 2.53
11 F 0.8646 0.1354 0.2500  2 La 2.37
12 F 0.9211 0.3623 0.6547  1 La 2.33, 1 Pb 2.40
13 F 0.6141 0.7620 0.5043  1 La 2.37, 1 Pb 2.53
14 F 0.3623 0.9211 0.1547  1 La 2.33, 1 Pb 2.40


First-principles (PBE-GGA) data for a geometry-optimized LaPb3F8 structure, as listed in Alexandria.

Properties
symmetry = No. 221

Cell: 6.0336 6.0336 6.0336 Å, 90.00 90.00 90.00°
Closest atoms and distances in Å follow each position.
Element x y z (fractional)
1 La 0.0000 0.0000 0.0000  8 F 2.43
2 Pb 0.5000 0.5000 0.0000  8 F 2.68
3 Pb 0.5000 0.0000 0.5000  8 F 2.68
4 Pb 0.0000 0.5000 0.5000  8 F 2.68
5 F 0.2328 0.2328 0.7672  1 La 2.43, 3 Pb 2.68
6 F 0.2328 0.7672 0.2328  1 La 2.43, 3 Pb 2.68
7 F 0.7672 0.2328 0.2328  1 La 2.43, 3 Pb 2.68
8 F 0.7672 0.7672 0.7672  1 La 2.43, 3 Pb 2.68
9 F 0.7672 0.7672 0.2328  1 La 2.43, 3 Pb 2.68
10 F 0.7672 0.2328 0.7672  1 La 2.43, 3 Pb 2.68
11 F 0.2328 0.7672 0.7672  1 La 2.43, 3 Pb 2.68
12 F 0.2328 0.2328 0.2328  1 La 2.43, 3 Pb 2.68


| no. | total DFT energy (no corrections) (eV per atom) | ΔE_f (raw) (eV per atom) |
| --- | --- | --- |
| 1 | -6.863 | -3.657 |
| 2 | -4.199 | -0.645 |
| 3 | -3.218 | 0.366 |
| 4 | -4.723 | -1.873 |
| 5 | -5.886 | -3.316 |
| 6 | -5.344 | -2.759 |